MgCd2As2 PBE-GGA relaxed; density of states at the Fermi level = 2.49 states/eV/f.u.; crystal system = tetragonal; V = 22.05 Å³/atom; energy relative to the elements = 0.11 eV/atom; energy = -2.4335 eV/atom
1.0
7.700 0.000 0.000
0.000 7.700 0.000
0.000 0.000 3.718
Mg Cd As
2 4 4
direct
0.000 0.000 0.000
0.500 0.500 0.000
0.130 0.370 0.000
0.370 0.870 0.000
0.630 0.130 0.000
0.870 0.630 0.000
0.179 0.679 0.500
0.321 0.179 0.500
0.679 0.821 0.500
0.821 0.321 0.500